Bi10Mo3O24: optimized geometry, GGA+U.

Cell: 23.9043 5.7375 8.8542 Å, 90.00 95.42 90.00°
With the nearest neighbours (Å) after each atom.
Space group C2 (No. 5)
Symmetry-distinct sites (fractional):
1 Bi 0.0375 0.0000 0.3252 (multiplicity 4)  4 O 2.23-2.41
2 Bi 0.0753 0.5013 0.5893 (multiplicity 4)  5 O 2.27-2.51
3 Bi 0.1491 0.4780 0.2497 (multiplicity 4)  4 O 2.22-2.44
4 Bi 0.1942 0.9150 0.5484 (multiplicity 4)  4 O 2.20-2.42
5 Bi 0.2375 0.4661 0.8115 (multiplicity 4)  3 O 2.11-2.22
6 Mo 0.0000 0.5120 0.0000 (multiplicity 2)  4 O 1.79-1.82
7 Mo 0.1256 0.9476 0.9287 (multiplicity 4)  4 O 1.81-1.82
8 O 0.0000 0.2139 0.5000 (multiplicity 2)  2 Bi 2.23
9 O 0.0000 0.7329 0.5000 (multiplicity 2)  4 Bi 2.32-2.41
10 O 0.0157 0.3388 0.8411 (multiplicity 4)  1 Mo 1.79
11 O 0.0598 0.6914 0.0681 (multiplicity 4)  1 Mo 1.82
12 O 0.0722 0.8691 0.7789 (multiplicity 4)  1 Mo 1.81
13 O 0.1046 0.2630 0.4084 (multiplicity 4)  3 Bi 2.22-2.27
14 O 0.1088 0.7527 0.4206 (multiplicity 4)  4 Bi 2.28-2.44
15 O 0.1095 0.1338 0.0840 (multiplicity 4)  1 Mo 1.81
16 O 0.1727 0.1264 0.8281 (multiplicity 4)  1 Mo 1.82
17 O 0.1728 0.5723 0.6472 (multiplicity 4)  2 Bi 2.11-2.23
18 O 0.1728 0.7122 0.9957 (multiplicity 4)  1 Mo 1.82
19 O 0.2248 0.2552 0.3110 (multiplicity 4)  3 Bi 2.22-2.38
20 O 0.2246 0.7365 0.3513 (multiplicity 4)  3 Bi 2.20-2.44

Summary:
**Raw total energy**: -6.25 eV/atom